## Y2ScPb (PBE-GGA)

Data for Y2ScPb after structural relaxation.

Cell and atoms, written as CIF:
```
data_Y2ScPb
_chemical_formula_sum 'Y2 Sc1 Pb1'
_cell_length_a 6.089
_cell_length_b 6.089
_cell_length_c 6.089
_cell_angle_alpha 135.43
_cell_angle_beta 135.44
_cell_angle_gamma 64.85
_space_group_name_H-M_alt 'P 1'
_space_group_IT_number 1
loop_
_space_group_symop_operation_xyz
'x,y,z'
loop_
_atom_site_label
_atom_site_type_symbol
_atom_site_fract_x
_atom_site_fract_y
_atom_site_fract_z
Y1 Y 0.500 0.500 0.000
Pb1 Pb 0.750 0.250 0.500
Y2 Y 0.000 0.000 0.000
Sc1 Sc 0.250 0.750 0.500
```

Computed properties:
- energy of formation from the pure elements (meV/atom) = -265

## CsTmTiO4 (PBE-GGA)

Data for CsTmTiO4 after structural relaxation.

Cell and atoms, written as CIF:
```
data_CsTmTiO4
_chemical_formula_sum 'Cs2 Tm2 Ti2 O8'
_cell_length_a 5.880
_cell_length_b 6.033
_cell_length_c 8.180
_cell_angle_alpha 90.00
_cell_angle_beta 110.63
_cell_angle_gamma 90.00
_space_group_name_H-M_alt 'P 1'
_space_group_IT_number 1
loop_
_space_group_symop_operation_xyz
'x,y,z'
loop_
_atom_site_label
_atom_site_type_symbol
_atom_site_fract_x
_atom_site_fract_y
_atom_site_fract_z
O1 O 0.047 0.524 0.347
O2 O 0.047 0.976 0.347
Tm1 Tm 0.815 0.750 0.463
Tm2 Tm 0.185 0.250 0.537
O3 O 0.498 0.250 0.435
Cs1 Cs 0.690 0.750 0.936
Ti1 Ti 0.731 0.250 0.644
O4 O 0.534 0.250 0.775
Cs2 Cs 0.310 0.250 0.064
O5 O 0.953 0.024 0.653
O6 O 0.466 0.750 0.225
O7 O 0.502 0.750 0.565
O8 O 0.953 0.476 0.653
Ti2 Ti 0.269 0.750 0.356
```

Computed properties:
- raw formation energy (eV/f.u.) = -20.63